First-principles (GGA-PBEsol) data for ScAl4Fe after structural relaxation, as listed in Alexandria via LeMat-Bulk.

a = 5.164 Å, b = 5.164 Å, c = 5.164 Å
α = 60.00°, β = 60.00°, γ = 60.00°
Site moments in Bohr magnetons follow the coordinates.
Atoms (fractional coordinates):
Sc 0.000 0.000 0.000  0.04
Fe 0.750 0.750 0.750  2.56
Al 0.375 0.375 0.875  0.01
Al 0.875 0.375 0.375  0.01
Al 0.375 0.875 0.375  0.01
Al 0.375 0.375 0.375  0.01

Computed properties:
V ... 16.2 Å³ per atom
Symmetry ... No. 216
E ... -32.14 eV/f.u.
M_tot ... 0.445 μB/atom
Energy of formation ... -0.034 eV/atom
Mass density ... 3.56 g/cm³